This record from Alexandria via LeMat-Bulk describes crystalline AcSmAl4 at its relaxed geometry. The functional is PBE.

Energy above the lowest structure with this stoichiometry in meV/atom: 16
E_form in eV per atom: -0.392
Calculated total energy in eV per atom: -4.359

a = 4.447 Å, b = 4.447 Å, c = 15.580 Å
α = 90.00°, β = 90.00°, γ = 90.00°
Space group I-4m2 (No. 119)
Unique sites:
Ac 0.000 0.000 0.000 [2 per cell]
Sm 0.000 0.500 0.750 [2 per cell]
Al 0.000 0.000 0.414 [4 per cell]
Al 0.000 0.500 0.169 [4 per cell]